First-principles (PBE-GGA) data for an optimized crystal structure of NaBeCoW, as listed in OQMD.

Values from the calculation:
The calculation puts the energy above the most stable polymorph in this dataset at 9.0 meV per atom.

```
data_NaBeCoW
_chemical_formula_sum 'Na1 Be1 Co1 W1'
_space_group_name_H-M_alt 'P 1'
_space_group_IT_number 1
_cell_length_a 4.207
_cell_length_b 4.207
_cell_length_c 4.207
_cell_angle_alpha 60.00
_cell_angle_beta 60.00
_cell_angle_gamma 60.00
loop_
_space_group_symop_operation_xyz
'x,y,z'
loop_
_atom_site_label
_atom_site_type_symbol
_atom_site_fract_x
_atom_site_fract_y
_atom_site_fract_z
_atom_site_occupancy
Na1 Na 0.000 0.000 0.000 1
Be1 Be 0.750 0.750 0.750 1
Co1 Co 0.250 0.250 0.250 1
W1 W 0.500 0.500 0.500 1
```

***

First-principles (PBE-GGA) data for an optimized crystal structure of LiErZnS3, as listed in OQMD.

Values from the calculation:
The calculation puts the energy above the most stable polymorph in this dataset at 0.0 meV per atom.

```
data_LiErZnS3
_chemical_formula_sum 'Li4 Er4 Zn4 S12'
_space_group_name_H-M_alt 'P 1'
_space_group_IT_number 1
_cell_length_a 10.578
_cell_length_b 3.853
_cell_length_c 12.385
_cell_angle_alpha 90.00
_cell_angle_beta 90.00
_cell_angle_gamma 90.00
loop_
_space_group_symop_operation_xyz
'x,y,z'
loop_
_atom_site_label
_atom_site_type_symbol
_atom_site_fract_x
_atom_site_fract_y
_atom_site_fract_z
_atom_site_occupancy
Li1 Li 0.140 0.250 0.018 1
Li2 Li 0.360 0.750 0.518 1
Li3 Li 0.640 0.250 0.482 1
Li4 Li 0.860 0.750 0.982 1
Er1 Er 0.009 0.250 0.735 1
Er2 Er 0.491 0.750 0.235 1
Er3 Er 0.509 0.250 0.765 1
Er4 Er 0.991 0.750 0.265 1
Zn1 Zn 0.238 0.250 0.288 1
Zn2 Zn 0.262 0.750 0.788 1
Zn3 Zn 0.738 0.250 0.212 1
Zn4 Zn 0.762 0.750 0.712 1
S1 S 0.062 0.250 0.393 1
S2 S 0.075 0.750 0.888 1
S3 S 0.238 0.750 0.170 1
S4 S 0.262 0.250 0.670 1
S5 S 0.425 0.250 0.388 1
S6 S 0.438 0.750 0.893 1
S7 S 0.562 0.250 0.107 1
S8 S 0.575 0.750 0.612 1
S9 S 0.738 0.750 0.330 1
S10 S 0.762 0.250 0.830 1
S11 S 0.925 0.250 0.112 1
S12 S 0.938 0.750 0.607 1
```

***

First-principles (PBE-GGA) data for an optimized crystal structure of LiNdCo, as listed in OQMD.

Values from the calculation:
The calculation puts the energy above the most stable polymorph in this dataset at 0.0 meV per atom.

```
data_LiNdCo
_chemical_formula_sum 'Li1 Nd1 Co1'
_space_group_name_H-M_alt 'P 1'
_space_group_IT_number 1
_cell_length_a 4.342
_cell_length_b 4.342
_cell_length_c 4.342
_cell_angle_alpha 60.00
_cell_angle_beta 60.00
_cell_angle_gamma 60.00
loop_
_space_group_symop_operation_xyz
'x,y,z'
loop_
_atom_site_label
_atom_site_type_symbol
_atom_site_fract_x
_atom_site_fract_y
_atom_site_fract_z
_atom_site_occupancy
Li1 Li 0.000 0.000 0.000 1
Nd1 Nd 0.250 0.250 0.250 1
Co1 Co 0.750 0.750 0.750 1
```

***

First-principles (PBE-GGA) data for an optimized crystal structure of ErNi, as listed in OQMD.

Values from the calculation:
The formation energy comes out at -225 meV/atom.

```
data_ErNi
_chemical_formula_sum 'Er1 Ni1'
_space_group_name_H-M_alt 'P 1'
_space_group_IT_number 1
_cell_length_a 3.991
_cell_length_b 3.991
_cell_length_c 3.991
_cell_angle_alpha 54.84
_cell_angle_beta 54.84
_cell_angle_gamma 54.84
loop_
_space_group_symop_operation_xyz
'x,y,z'
loop_
_atom_site_label
_atom_site_type_symbol
_atom_site_fract_x
_atom_site_fract_y
_atom_site_fract_z
_atom_site_occupancy
Er1 Er 0.000 0.000 0.000 1
Ni1 Ni 0.500 0.500 0.500 1
```

***

First-principles (PBE-GGA) data for an optimized crystal structure of ErTc4P2, as listed in OQMD.

Values from the calculation:
Its uncorrected energy is -8.827 eV per atom.

```
data_ErTc4P2
_chemical_formula_sum 'Er1 Tc4 P2'
_space_group_name_H-M_alt 'P 1'
_space_group_IT_number 1
_cell_length_a 7.027
_cell_length_b 7.027
_cell_length_c 4.002
_cell_angle_alpha 90.00
_cell_angle_beta 90.00
_cell_angle_gamma 146.55
loop_
_space_group_symop_operation_xyz
'x,y,z'
loop_
_atom_site_label
_atom_site_type_symbol
_atom_site_fract_x
_atom_site_fract_y
_atom_site_fract_z
_atom_site_occupancy
Er1 Er 0.000 0.000 0.000 1
Tc1 Tc 0.182 0.818 0.500 1
Tc2 Tc 0.310 0.690 0.000 1
Tc3 Tc 0.690 0.310 0.000 1
Tc4 Tc 0.818 0.182 0.500 1
P1 P 0.414 0.586 0.500 1
P2 P 0.586 0.414 0.500 1
```

***

First-principles (PBE-GGA) data for an optimized crystal structure of SrTm2, as listed in OQMD.

Values from the calculation:
Its uncorrected energy is -3.288 eV per atom.

```
data_SrTm2
_chemical_formula_sum 'Sr2 Tm4'
_space_group_name_H-M_alt 'P 1'
_space_group_IT_number 1
_cell_length_a 6.862
_cell_length_b 6.862
_cell_length_c 6.862
_cell_angle_alpha 60.00
_cell_angle_beta 60.00
_cell_angle_gamma 60.00
loop_
_space_group_symop_operation_xyz
'x,y,z'
loop_
_atom_site_label
_atom_site_type_symbol
_atom_site_fract_x
_atom_site_fract_y
_atom_site_fract_z
_atom_site_occupancy
Sr1 Sr 0.125 0.125 0.125 1
Sr2 Sr 0.875 0.875 0.875 1
Tm1 Tm 0.000 0.500 0.500 1
Tm2 Tm 0.500 0.000 0.500 1
Tm3 Tm 0.500 0.500 0.000 1
Tm4 Tm 0.500 0.500 0.500 1
```

***

First-principles (PBE-GGA) data for an optimized crystal structure of RbTbSmSe3, as listed in OQMD.

Values from the calculation:
Its uncorrected energy is -5.010 eV per atom.

```
data_RbTbSmSe3
_chemical_formula_sum 'Rb2 Tb2 Sm2 Se6'
_space_group_name_H-M_alt 'P 1'
_space_group_IT_number 1
_cell_length_a 8.249
_cell_length_b 8.249
_cell_length_c 11.335
_cell_angle_alpha 90.00
_cell_angle_beta 90.00
_cell_angle_gamma 147.51
loop_
_space_group_symop_operation_xyz
'x,y,z'
loop_
_atom_site_label
_atom_site_type_symbol
_atom_site_fract_x
_atom_site_fract_y
_atom_site_fract_z
_atom_site_occupancy
Rb1 Rb 0.240 0.760 0.750 1
Rb2 Rb 0.760 0.240 0.250 1
Tb1 Tb 0.030 0.970 0.250 1
Tb2 Tb 0.970 0.030 0.750 1
Sm1 Sm 0.500 0.500 0.000 1
Sm2 Sm 0.500 0.500 0.500 1
Se1 Se 0.121 0.879 0.047 1
Se2 Se 0.121 0.879 0.453 1
Se3 Se 0.436 0.564 0.250 1
Se4 Se 0.564 0.436 0.750 1
Se5 Se 0.879 0.121 0.547 1
Se6 Se 0.879 0.121 0.953 1
```

***

First-principles (PBE-GGA) data for an optimized crystal structure of Pt124Pb, as listed in OQMD.

Values from the calculation:
Its uncorrected energy is -6.037 eV per atom.

```
data_Pt124Pb
_chemical_formula_sum 'Pt124 Pb1'
_space_group_name_H-M_alt 'P 1'
_space_group_IT_number 1
_cell_length_a 14.049
_cell_length_b 14.049
_cell_length_c 14.049
_cell_angle_alpha 60.00
_cell_angle_beta 60.00
_cell_angle_gamma 60.00
loop_
_space_group_symop_operation_xyz
'x,y,z'
loop_
_atom_site_label
_atom_site_type_symbol
_atom_site_fract_x
_atom_site_fract_y
_atom_site_fract_z
_atom_site_occupancy
Pt1 Pt 0.099 0.500 0.500 1
Pt2 Pt 0.099 0.500 0.700 1
Pt3 Pt 0.099 0.500 0.901 1
Pt4 Pt 0.099 0.700 0.500 1
Pt5 Pt 0.099 0.700 0.700 1
Pt6 Pt 0.099 0.901 0.500 1
Pt7 Pt 0.100 0.100 0.100 1
Pt8 Pt 0.100 0.100 0.300 1
Pt9 Pt 0.100 0.100 0.500 1
Pt10 Pt 0.100 0.100 0.700 1
Pt11 Pt 0.100 0.100 0.900 1
Pt12 Pt 0.100 0.300 0.100 1
Pt13 Pt 0.100 0.300 0.300 1
Pt14 Pt 0.100 0.300 0.500 1
Pt15 Pt 0.100 0.300 0.700 1
Pt16 Pt 0.100 0.300 0.900 1
Pt17 Pt 0.100 0.500 0.100 1
Pt18 Pt 0.100 0.500 0.300 1
Pt19 Pt 0.100 0.700 0.100 1
Pt20 Pt 0.100 0.700 0.300 1
Pt21 Pt 0.100 0.700 0.900 1
Pt22 Pt 0.100 0.900 0.100 1
Pt23 Pt 0.100 0.900 0.300 1
Pt24 Pt 0.100 0.900 0.700 1
Pt25 Pt 0.100 0.900 0.900 1
Pt26 Pt 0.297 0.500 0.500 1
Pt27 Pt 0.297 0.500 0.703 1
Pt28 Pt 0.297 0.703 0.500 1
Pt29 Pt 0.300 0.100 0.100 1
Pt30 Pt 0.300 0.100 0.300 1
Pt31 Pt 0.300 0.100 0.500 1
Pt32 Pt 0.300 0.100 0.700 1
Pt33 Pt 0.300 0.100 0.900 1
Pt34 Pt 0.300 0.300 0.100 1
Pt35 Pt 0.300 0.300 0.300 1
Pt36 Pt 0.300 0.300 0.500 1
Pt37 Pt 0.300 0.300 0.700 1
Pt38 Pt 0.300 0.300 0.901 1
Pt39 Pt 0.300 0.500 0.100 1
Pt40 Pt 0.300 0.500 0.300 1
Pt41 Pt 0.300 0.500 0.901 1
Pt42 Pt 0.300 0.700 0.100 1
Pt43 Pt 0.300 0.700 0.300 1
Pt44 Pt 0.300 0.700 0.700 1
Pt45 Pt 0.300 0.700 0.900 1
Pt46 Pt 0.300 0.900 0.100 1
Pt47 Pt 0.300 0.900 0.700 1
Pt48 Pt 0.300 0.900 0.900 1
Pt49 Pt 0.300 0.901 0.300 1
Pt50 Pt 0.300 0.901 0.500 1
Pt51 Pt 0.500 0.099 0.500 1
Pt52 Pt 0.500 0.099 0.700 1
Pt53 Pt 0.500 0.099 0.901 1
Pt54 Pt 0.500 0.100 0.100 1
Pt55 Pt 0.500 0.100 0.300 1
Pt56 Pt 0.500 0.297 0.500 1
Pt57 Pt 0.500 0.297 0.703 1
Pt58 Pt 0.500 0.300 0.100 1
Pt59 Pt 0.500 0.300 0.300 1
Pt60 Pt 0.500 0.300 0.901 1
Pt61 Pt 0.500 0.500 0.099 1
Pt62 Pt 0.500 0.500 0.297 1
Pt63 Pt 0.500 0.500 0.703 1
Pt64 Pt 0.500 0.500 0.901 1
Pt65 Pt 0.500 0.700 0.099 1
Pt66 Pt 0.500 0.700 0.700 1
Pt67 Pt 0.500 0.700 0.900 1
Pt68 Pt 0.500 0.703 0.297 1
Pt69 Pt 0.500 0.703 0.500 1
Pt70 Pt 0.500 0.900 0.700 1
Pt71 Pt 0.500 0.900 0.900 1
Pt72 Pt 0.500 0.901 0.099 1
Pt73 Pt 0.500 0.901 0.300 1
Pt74 Pt 0.500 0.901 0.500 1
Pt75 Pt 0.700 0.099 0.500 1
Pt76 Pt 0.700 0.099 0.700 1
Pt77 Pt 0.700 0.100 0.100 1
Pt78 Pt 0.700 0.100 0.300 1
Pt79 Pt 0.700 0.100 0.900 1
Pt80 Pt 0.700 0.300 0.100 1
Pt81 Pt 0.700 0.300 0.300 1
Pt82 Pt 0.700 0.300 0.700 1
Pt83 Pt 0.700 0.300 0.900 1
Pt84 Pt 0.700 0.500 0.099 1
Pt85 Pt 0.700 0.500 0.700 1
Pt86 Pt 0.700 0.500 0.900 1
Pt87 Pt 0.700 0.700 0.099 1
Pt88 Pt 0.700 0.700 0.300 1
Pt89 Pt 0.700 0.700 0.500 1
Pt90 Pt 0.700 0.700 0.700 1
Pt91 Pt 0.700 0.700 0.900 1
Pt92 Pt 0.700 0.900 0.100 1
Pt93 Pt 0.700 0.900 0.300 1
Pt94 Pt 0.700 0.900 0.500 1
Pt95 Pt 0.700 0.900 0.700 1
Pt96 Pt 0.700 0.900 0.900 1
Pt97 Pt 0.703 0.297 0.500 1
Pt98 Pt 0.703 0.500 0.297 1
Pt99 Pt 0.703 0.500 0.500 1
Pt100 Pt 0.900 0.100 0.100 1
Pt101 Pt 0.900 0.100 0.300 1
Pt102 Pt 0.900 0.100 0.700 1
Pt103 Pt 0.900 0.100 0.900 1
Pt104 Pt 0.900 0.300 0.100 1
Pt105 Pt 0.900 0.300 0.700 1
Pt106 Pt 0.900 0.300 0.900 1
Pt107 Pt 0.900 0.500 0.700 1
Pt108 Pt 0.900 0.500 0.900 1
Pt109 Pt 0.900 0.700 0.100 1
Pt110 Pt 0.900 0.700 0.300 1
Pt111 Pt 0.900 0.700 0.500 1
Pt112 Pt 0.900 0.700 0.700 1
Pt113 Pt 0.900 0.700 0.900 1
Pt114 Pt 0.900 0.900 0.100 1
Pt115 Pt 0.900 0.900 0.300 1
Pt116 Pt 0.900 0.900 0.500 1
Pt117 Pt 0.900 0.900 0.700 1
Pt118 Pt 0.900 0.900 0.900 1
Pt119 Pt 0.901 0.099 0.500 1
Pt120 Pt 0.901 0.300 0.300 1
Pt121 Pt 0.901 0.300 0.500 1
Pt122 Pt 0.901 0.500 0.099 1
Pt123 Pt 0.901 0.500 0.300 1
Pt124 Pt 0.901 0.500 0.500 1
Pb1 Pb 0.500 0.500 0.500 1
```

***

Number 1: theoretical density 8.67 Mg/m³. Number 2: theoretical density 4.42 Mg/m³. Number 3: theoretical density 6.03 Mg/m³. Number 4: theoretical density 9.49 Mg/m³. Number 5: theoretical density 9.47 Mg/m³. Number 6: theoretical density 6.18 Mg/m³. Number 7: theoretical density 5.06 Mg/m³. Number 8: theoretical density 20.66 Mg/m³.